Here is CaCdAs at its PBEsol-relaxed geometry from the Alexandria database. Energies are from SCAN.

## Properties
The offset from the most stable computed form is 0.2136 eV/atom. The calculation puts the formation energy at -336.0 meV per atom. For the magnetization, the calculation gives 0.0 μB/cell.

abc: 4.8062 4.8062 4.8062
angles: 60.00 60.00 60.00
Closest atoms and distances in Å follow each position.
Sites, in units of the cell vectors:
Ca (0.2500, 0.2500, 0.2500)  4 Cd 2.94, 4 As 2.94
Cd (0.0000, 0.0000, 0.0000)  4 Ca 2.94
As (0.5000, 0.5000, 0.5000)  4 Ca 2.94

---

Here is CaCdAs at its PBEsol-relaxed geometry from the Alexandria database. Energies are from SCAN.

## Properties
The offset from the most stable computed form is 0.0000 eV/atom. The calculation puts the formation energy at -549.7 meV per atom. For the magnetization, the calculation gives 0.0 μB/cell.

abc: 4.7764 4.7764 4.7764
angles: 60.00 60.00 60.00
Closest atoms and distances in Å follow each position.
Sites, in units of the cell vectors:
As (0.2500, 0.2500, 0.2500)  4 Ca 2.92, 4 Cd 2.92
Cd (0.5000, 0.5000, 0.5000)  4 As 2.92
Ca (0.0000, 0.0000, 0.0000)  4 As 2.92

---

Here is CaCdAs2 at its PBEsol-relaxed geometry from the Alexandria database. Energies are from SCAN.

## Properties
The calculation puts the formation energy at -390.3 meV per atom. For the magnetization, the calculation gives 0.0 μB/cell.

abc: 4.1260 4.1260 5.7355
angles: 111.08 111.08 90.00
Closest atoms and distances in Å follow each position.
Sites, in units of the cell vectors:
Cd (0.2500, 0.7500, 0.5000)  8 As 2.92-3.22, 4 Ca 3.22
As (0.7500, 0.2500, 0.5000)  4 Cd 2.92, 4 Ca 3.22, 4 As 3.22
As (0.0000, 0.0000, 0.0000)  4 Ca 2.92, 4 Cd 3.22, 4 As 3.22
Ca (0.5000, 0.5000, 0.0000)  8 As 2.92-3.22, 4 Cd 3.22

---

Here is CaAs4Cl at its PBEsol-relaxed geometry from the Alexandria database. Energies are from SCAN.

## Properties
The calculation puts the formation energy (no corrections) at -385 meV/atom. For the magnetization, the calculation gives 0.0 μB/cell.

abc: 5.6753 5.6753 5.6753
angles: 60.00 60.00 60.00
Closest atoms and distances in Å follow each position.
Sites, in units of the cell vectors:
Ca (0.7500, 0.7500, 0.7500)  12 As 3.36, 4 Cl 3.48
As (0.3633, 0.3633, 0.3633)  3 As 2.57
As (0.9100, 0.3633, 0.3633)  3 As 2.57
As (0.3633, 0.3633, 0.9100)  3 As 2.57
As (0.3633, 0.9100, 0.3633)  3 As 2.57
Cl (0.0000, 0.0000, 0.0000)  12 As 3.30, 4 Ca 3.48

---

Here is Ca3AsCl3 at its PBEsol-relaxed geometry from the Alexandria database. Energies are from SCAN.

## Properties
The calculation puts the formation energy (no corrections) at -2240 meV/atom. For the magnetization, the calculation gives 0.0 μB/cell.

abc: 5.6897 5.6897 5.6897
angles: 90.00 90.00 90.00
Closest atoms and distances in Å follow each position.
Sites, in units of the cell vectors:
Ca (0.0000, 0.5000, 0.0000)  4 Cl 2.84, 2 As 2.84
Ca (0.0000, 0.0000, 0.5000)  4 Cl 2.84, 2 As 2.84
Ca (0.5000, 0.0000, 0.0000)  4 Cl 2.84, 2 As 2.84
Cl (0.5000, 0.0000, 0.5000)  4 Ca 2.84
Cl (0.0000, 0.5000, 0.5000)  4 Ca 2.84
Cl (0.5000, 0.5000, 0.0000)  4 Ca 2.84
As (0.0000, 0.0000, 0.0000)  6 Ca 2.84

---

Here is CaAsCl at its PBEsol-relaxed geometry from the Alexandria database. Energies are from SCAN.

## Properties
The calculation puts the formation energy (no corrections) at -1091 meV/atom. For the magnetization, the calculation gives 0.0 μB/cell.

abc: 3.5549 3.5549 7.4134
angles: 90.00 90.00 120.00
Closest atoms and distances in Å follow each position.
Sites, in units of the cell vectors:
Ca (0.6667, 0.3333, 0.6364)  3 Cl 2.63
Cl (0.3333, 0.6667, 0.4155)  3 Ca 2.63
As (0.0000, 0.0000, 0.9481)  3 Ca 3.09

---

Here is CaAsCl2 at its PBEsol-relaxed geometry from the Alexandria database. Energies are from SCAN.

## Properties
The calculation puts the formation energy (no corrections) at -1122 meV/atom. The offset from the most stable computed form is 0.0466 eV/atom. For the magnetization, the calculation gives 0.0 μB/cell.

abc: 3.5791 5.1738 5.4873
angles: 90.00 90.00 90.00
Closest atoms and distances in Å follow each position.
Sites, in units of the cell vectors:
Cl (0.5000, 0.8527, 0.5000)  2 Ca 2.56-2.61
Cl (0.0000, 0.9324, 0.0000)  1 As 2.20
As (0.0000, 0.3574, 0.0000)  1 Cl 2.20
Ca (0.5000, 0.3574, 0.5000)  2 Cl 2.56-2.61

---

Here is CaAsCl2 at its PBEsol-relaxed geometry from the Alexandria database. Energies are from SCAN.

## Properties
The calculation puts the formation energy (no corrections) at -1169 meV/atom. The offset from the most stable computed form is 0.0000 eV/atom. For the magnetization, the calculation gives 0.0 μB/cell.

abc: 3.4464 4.3121 5.7023
angles: 90.00 90.00 90.00
Closest atoms and distances in Å follow each position.
Sites, in units of the cell vectors:
As (0.5000, 0.5000, 0.0000)  4 Cl 2.76
Ca (0.0000, 0.5000, 0.5000)  4 Cl 2.76
Cl (0.0000, 0.0000, 0.0000)  4 As 2.76
Cl (0.5000, 0.0000, 0.5000)  4 Ca 2.76

---

Here is Ca2AsClO4 at its PBEsol-relaxed geometry from the Alexandria database. Energies are from SCAN.

## Properties
The calculation puts the formation energy (no corrections) at -2577 meV/atom. For the magnetization, the calculation gives 0.0 μB/cell.

abc: 6.2848 7.0902 10.9872
angles: 90.00 90.00 90.00
Closest atoms and distances in Å follow each position.
Sites, in units of the cell vectors:
O (0.2922, 0.4346, 0.0300)  1 As 1.71
O (0.7078, 0.9346, 0.0300)  1 As 1.71
O (0.7078, 0.9346, 0.4700)  1 As 1.71
O (0.7078, 0.5654, 0.9700)  1 As 1.71
O (0.9629, 0.2379, 0.1250)  1 As 1.72
O (0.7078, 0.5654, 0.5300)  1 As 1.71
O (0.2922, 0.0654, 0.5300)  1 As 1.71
O (0.9629, 0.2621, 0.8750)  1 As 1.72
O (0.2922, 0.0654, 0.9700)  1 As 1.71
O (0.0371, 0.7379, 0.3750)  1 As 1.72
O (0.0371, 0.7621, 0.6250)  1 As 1.72
O (0.0371, 0.7379, 0.1250)  1 As 1.72
O (0.9629, 0.2621, 0.6250)  1 As 1.72
O (0.9629, 0.2379, 0.3750)  1 As 1.72
O (0.0371, 0.7621, 0.8750)  1 As 1.72
O (0.2922, 0.4346, 0.4700)  1 As 1.71
Cl (0.4876, 0.3062, 0.7500)  4 Ca 2.79-2.95
Cl (0.4876, 0.1938, 0.2500)  4 Ca 2.79-2.95
Cl (0.5124, 0.8062, 0.7500)  4 Ca 2.79-2.95
Cl (0.5124, 0.6938, 0.2500)  4 Ca 2.79-2.95
Ca (0.3776, 0.7500, 0.5000)  6 O 2.32-2.54
Ca (0.3776, 0.7500, 0.0000)  6 O 2.32-2.54
Ca (0.1429, 0.0242, 0.7500)  6 O 2.40-2.61
Ca (0.8571, 0.5242, 0.7500)  6 O 2.40-2.61
Ca (0.1429, 0.4758, 0.2500)  6 O 2.40-2.61
Ca (0.8571, 0.9758, 0.2500)  6 O 2.40-2.61
Ca (0.6224, 0.2500, 0.0000)  6 O 2.32-2.54
Ca (0.6224, 0.2500, 0.5000)  6 O 2.32-2.54
As (0.1259, 0.2500, 0.5000)  4 O 1.71-1.72
As (0.8741, 0.7500, 0.0000)  4 O 1.71-1.72
As (0.8741, 0.7500, 0.5000)  4 O 1.71-1.72
As (0.1259, 0.2500, 0.0000)  4 O 1.71-1.72

---

Here is Ca5As3ClO12 at its PBEsol-relaxed geometry from the Alexandria database. Energies are from SCAN.

## Properties
The calculation puts the formation energy (no corrections) at -2550 meV/atom. For the magnetization, the calculation gives 0.0 μB/cell.

abc: 6.7352 10.1440 10.1440
angles: 120.00 90.00 90.00
Closest atoms and distances in Å follow each position.
Sites, in units of the cell vectors:
Ca (0.4958, 0.6667, 0.3333)  6 O 2.37-2.44
Ca (0.7520, 0.7560, 0.7270)  5 O 2.31-2.51
Ca (0.2520, 0.0290, 0.7560)  5 O 2.31-2.51
Ca (0.9958, 0.3333, 0.6667)  6 O 2.37-2.44
Ca (0.7520, 0.9710, 0.2440)  5 O 2.31-2.51
Ca (0.0052, 0.6667, 0.3333)  6 O 2.34-2.41
Ca (0.2520, 0.2440, 0.2730)  5 O 2.31-2.51
Ca (0.5052, 0.3333, 0.6667)  6 O 2.34-2.41
Ca (0.7520, 0.2730, 0.0290)  5 O 2.31-2.51
Ca (0.2520, 0.7270, 0.9710)  5 O 2.31-2.51
Cl (0.1384, 0.0000, 0.0000)  3 Ca 2.74
Cl (0.6384, 0.0000, 0.0000)  3 Ca 2.74
As (0.7488, 0.6191, 0.0302)  4 O 1.69-1.73
As (0.7488, 0.9698, 0.5888)  4 O 1.69-1.73
As (0.2488, 0.0302, 0.4112)  4 O 1.69-1.73
As (0.7488, 0.4112, 0.3809)  4 O 1.69-1.73
As (0.2488, 0.3809, 0.9698)  4 O 1.69-1.73
As (0.2488, 0.5888, 0.6191)  4 O 1.69-1.73
O (0.7541, 0.8575, 0.3928)  1 As 1.73
O (0.7478, 0.1569, 0.6422)  1 As 1.69
O (0.5458, 0.7364, 0.0928)  1 As 1.71
O (0.0458, 0.0928, 0.3564)  1 As 1.71
O (0.9472, 0.9146, 0.6557)  1 As 1.71
O (0.4472, 0.6557, 0.7411)  1 As 1.71
O (0.2541, 0.4647, 0.8575)  1 As 1.73
O (0.0458, 0.6436, 0.7364)  1 As 1.71
O (0.2478, 0.6422, 0.4853)  1 As 1.69
O (0.7541, 0.6072, 0.4647)  1 As 1.73
O (0.5458, 0.3564, 0.2636)  1 As 1.71
O (0.2478, 0.5147, 0.1569)  1 As 1.69
O (0.2478, 0.8431, 0.3578)  1 As 1.69
O (0.0458, 0.2636, 0.9072)  1 As 1.71
O (0.7478, 0.4853, 0.8431)  1 As 1.69
O (0.7478, 0.3578, 0.5147)  1 As 1.69
O (0.5458, 0.9072, 0.6436)  1 As 1.71
O (0.9472, 0.3443, 0.2589)  1 As 1.71
O (0.2541, 0.1425, 0.6072)  1 As 1.73
O (0.4472, 0.2589, 0.9146)  1 As 1.71
O (0.9472, 0.7411, 0.0854)  1 As 1.71
O (0.4472, 0.0854, 0.3443)  1 As 1.71
O (0.2541, 0.3928, 0.5353)  1 As 1.73
O (0.7541, 0.5353, 0.1425)  1 As 1.73